VASP calculation (PBE with a Hubbard U) on RbFeSiO4 after structural relaxation.

As for the magnetic moment: 10.0 μB per cell. The uncorrected energy comes out at -6.59 eV/atom. Its density of states at the Fermi level is 0.0 states/eV/cell.

Lattice parameters (Å, degrees): 5.1488 5.5439 7.3185 90.00 96.58 90.00
Closest atoms and distances in Å follow each position.
Space group P2_1/m (No. 11)
One atom of each set of equivalent atoms:
Rb1 0.2122 0.2500 0.0945 [2 per cell]  1 O 2.67
Fe1 0.1782 0.7500 0.4716 [2 per cell]  6 O 1.97-2.18
Si1 0.3492 0.2500 0.6447 [2 per cell]  4 O 1.63-1.67
O1 0.1361 0.0248 0.6601 [4 per cell]  1 Si 1.67
O2 0.3736 0.7500 0.2225 [2 per cell]  1 Si 1.63
O3 0.4469 0.2500 0.4392 [2 per cell]  1 Si 1.64